No. 1
Entry from the Alexandria database: a relaxed structure of TbAl10V2 (PBE).

Unit cell a=6.9727 b=6.9727 c=6.9570 alpha=98.29 beta=98.29 gamma=135.17
Closest atoms and distances in Å follow each position.
Fractional positions:
Tb1 0.0000 0.0000 0.0000  16 Al 3.20-3.49, 4 V 3.48-3.49
Al1 0.0000 0.5000 0.0000  10 Al 2.66-2.90
Al2 0.0140 0.3505 0.3645  2 V 2.69, 6 Al 2.74-2.92
Al3 0.2807 0.4946 0.7751  2 V 2.61, 6 Al 2.69-2.91
Al4 0.3505 0.0140 0.3645  2 V 2.69, 6 Al 2.74-2.92
Al5 0.4946 0.2807 0.7751  2 V 2.61, 6 Al 2.69-2.91
Al6 0.5000 0.0000 0.0000  10 Al 2.66-2.90
Al7 0.5054 0.7193 0.2249  2 V 2.61, 6 Al 2.69-2.91
Al8 0.6495 0.9860 0.6355  2 V 2.69, 6 Al 2.74-2.92
Al9 0.7193 0.5054 0.2249  2 V 2.61, 6 Al 2.69-2.91
Al10 0.9860 0.6495 0.6355  2 V 2.69, 6 Al 2.74-2.92
V1 0.0000 0.0000 0.5000  8 Al 2.61-2.69, 2 V 2.66
V2 0.5000 0.5000 0.5000  8 Al 2.61-2.69, 2 V 2.66

Properties
Theoretical density = 3992 kg/m³
Uncorrected energy = -62.800 eV per formula unit
Volume = 220.7 Å³/f.u.
Crystal system = monoclinic
Space group = C2/m

=====

No. 2
Entry from the Alexandria database: a relaxed structure of TbY3Al4 (PBE).

Unit cell a=3.6057 b=3.6057 c=14.4298 alpha=90.00 beta=90.00 gamma=90.00
Closest atoms and distances in Å follow each position.
Fractional positions:
Tb1 0.0000 0.0000 0.0000  8 Al 3.13
Y1 0.0000 0.0000 0.2503  8 Al 3.12
Y2 0.0000 0.0000 0.5000  8 Al 3.12
Y3 0.0000 0.0000 0.7497  8 Al 3.12
Al1 0.5000 0.5000 0.1257  4 Y 3.12, 4 Tb 3.13
Al2 0.5000 0.5000 0.3751  8 Y 3.12
Al3 0.5000 0.5000 0.6249  8 Y 3.12
Al4 0.5000 0.5000 0.8743  4 Y 3.12, 4 Tb 3.13

Properties
Theoretical density = 4723 kg/m³
Uncorrected energy = -42.296 eV per formula unit
Volume = 187.6 Å³/f.u.
Crystal system = tetragonal
Space group = P4/mmm

=====

No. 3
Entry from the Alexandria database: a relaxed structure of Tb7YAl5 (PBE).

Unit cell a=8.0472 b=8.0472 c=8.0472 alpha=135.19 beta=100.34 gamma=96.37
Closest atoms and distances in Å follow each position.
Fractional positions:
Tb1 0.0000 0.0000 0.0000  4 Al 3.19, 2 Tb 3.25
Tb2 0.0183 0.6821 0.3362  5 Al 3.17-3.27, 4 Tb 3.38-3.48, 1 Y 3.48
Tb3 0.3336 0.3336 0.0000  6 Al 3.07-3.25
Tb4 0.3460 0.6821 0.6638  5 Al 3.17-3.27, 4 Tb 3.38-3.48, 1 Y 3.48
Tb5 0.4732 0.1662 0.3070  5 Al 3.03-3.27, 1 Tb 3.19
Tb6 0.8592 0.1662 0.6930  5 Al 3.03-3.27, 1 Tb 3.19
Tb7 0.8986 0.3986 0.5000  4 Al 3.10, 4 Tb 3.19-3.25
Y1 0.6568 0.6568 0.0000  8 Tb 3.47-3.68, 4 Al 3.79
Al1 0.1887 0.1822 0.5139  3 Al 2.92-3.11, 7 Tb 3.03-3.27
Al2 0.1887 0.6747 0.0065  3 Al 2.92-3.11, 7 Tb 3.03-3.27
Al3 0.4337 0.9337 0.5000  4 Al 2.92, 6 Tb 3.18-3.25
Al4 0.6682 0.1822 0.9935  3 Al 2.92-3.11, 7 Tb 3.03-3.27
Al5 0.6682 0.6747 0.4861  3 Al 2.92-3.11, 7 Tb 3.03-3.27

Properties
Theoretical density = 6541 kg/m³
Uncorrected energy = -60.474 eV per formula unit
Volume = 339.3 Å³/f.u.
Crystal system = orthorhombic
Space group = Imm2